[1]
Compound: Rb2MgScSn
Source: the Alexandria database
Functional: GGA-PBE
Structure: optimized geometry

Lattice parameters (Å, degrees): 6.7322 5.6891 6.7322 90.00 90.00 90.00
Last column: nearest neighbours and their distance in Å.
Sites, in units of the cell vectors:
Sc 0.0000 0.0000 0.0000  2 Mg 2.84
Mg 0.0000 0.5000 0.0000  2 Sc 2.84
Sn 0.5000 0.5000 0.5000  8 Rb 4.41, 4 Mg 4.76
Rb 0.0000 0.0000 0.5000  2 Sc 3.37
Rb 0.5000 0.0000 0.0000  2 Sc 3.37

## Properties
SG: No. 123
DOS at the Fermi energy (states/eV/f.u.): 6.53
Formation energy from the elements (eV per atom): 0.9508
Total magnetic moment (μB per formula unit): 0.78



[2]
Compound: NdSm2Tm5
Source: the Alexandria database
Functional: GGA-PBE
Structure: optimized geometry

Lattice parameters (Å, degrees): 9.8270 6.4384 10.8630 119.74 116.89 90.00
Last column: nearest neighbours and their distance in Å.
Sites, in units of the cell vectors:
Nd 0.0000 0.0000 0.5000  2 Sm 3.01
Nd 0.5000 0.5000 0.5000  2 Sm 3.01
Sm 0.1788 0.4610 0.8484  1 Nd 3.01, 2 Tm 3.17-3.33, 1 Sm 3.21
Sm 0.6696 0.9610 0.8484  1 Nd 3.01, 2 Tm 3.17-3.33, 1 Sm 3.21
Sm 0.8212 0.5390 0.1516  1 Nd 3.01, 2 Tm 3.17-3.33, 1 Sm 3.21
Sm 0.3304 0.0390 0.1516  1 Nd 3.01, 2 Tm 3.17-3.33, 1 Sm 3.21
Tm 0.4917 0.4427 0.8014  4 Sm 3.33-3.70, 1 Nd 3.51, 5 Tm 3.63-3.68
Tm 0.9440 0.7500 0.0000  4 Sm 3.17-3.45, 2 Tm 3.40
Tm 0.0560 0.2500 0.0000  4 Sm 3.17-3.45, 2 Tm 3.40
Tm 0.8951 0.6299 0.6109  1 Sm 3.45, 2 Nd 3.46-3.49, 7 Tm 3.63-3.69
Tm 0.1049 0.3701 0.3891  1 Sm 3.45, 2 Nd 3.46-3.49, 7 Tm 3.63-3.69
Tm 0.7158 0.1299 0.6109  1 Sm 3.45, 2 Nd 3.46-3.49, 7 Tm 3.63-3.69
Tm 0.2842 0.8701 0.3891  1 Sm 3.45, 2 Nd 3.46-3.49, 7 Tm 3.63-3.69
Tm 0.5083 0.5573 0.1986  4 Sm 3.33-3.70, 1 Nd 3.51, 5 Tm 3.63-3.68
Tm 0.3097 0.9427 0.8014  4 Sm 3.33-3.70, 1 Nd 3.51, 5 Tm 3.63-3.68
Tm 0.6903 0.0573 0.1986  4 Sm 3.33-3.70, 1 Nd 3.51, 5 Tm 3.63-3.68

## Properties
SG: No. 15
DOS at the Fermi energy (states/eV/f.u.): 11.84
Formation energy from the elements (eV per atom): 0.1816
Total magnetic moment (μB per formula unit): 0.00
Distance to the lowest polymorph of the same formula (meV per atom): 160



[3]
Compound: Y2ScCd4
Source: the Alexandria database
Functional: GGA-PBE
Structure: optimized geometry

Lattice parameters (Å, degrees): 5.1007 5.1007 8.9165 73.38 73.38 60.00
Last column: nearest neighbours and their distance in Å.
Sites, in units of the cell vectors:
Y 0.7505 0.7505 0.7485  8 Cd 3.13-3.17
Y 0.2495 0.2495 0.2515  8 Cd 3.13-3.17
Sc 0.0000 0.0000 0.0000  8 Cd 3.13-3.16
Cd 0.8747 0.8747 0.3759  4 Y 3.13-3.14, 1 Sc 3.16
Cd 0.1253 0.1253 0.6241  4 Y 3.13-3.14, 1 Sc 3.16
Cd 0.6248 0.6248 0.1256  3 Sc 3.13, 4 Y 3.13-3.17
Cd 0.3752 0.3752 0.8744  3 Sc 3.13, 4 Y 3.13-3.17

## Properties
SG: No. 166
DOS at the Fermi energy (states/eV/f.u.): 6.88
Formation energy from the elements (eV per atom): -0.1319
Total magnetic moment (μB per formula unit): 0.00



[4]
Compound: ScInPdRu2
Source: the Alexandria database
Functional: GGA-PBE
Structure: optimized geometry

Lattice parameters (Å, degrees): 4.5448 5.2842 4.5448 90.00 90.00 90.00
Last column: nearest neighbours and their distance in Å.
Sites, in units of the cell vectors:
Sc 0.0000 0.0000 0.0000  4 Ru 2.27
Ru 0.0000 0.0000 0.5000  2 Sc 2.27
Ru 0.5000 0.0000 0.0000  2 Sc 2.27
Pd 0.5000 0.5000 0.5000  4 In 3.21, 8 Ru 3.48
In 0.0000 0.5000 0.0000  2 Sc 2.64

## Properties
SG: No. 123
DOS at the Fermi energy (states/eV/f.u.): 5.18
Formation energy from the elements (eV per atom): 1.2575
Total magnetic moment (μB per formula unit): 1.97



[5]
Compound: BiPPd3
Source: the Alexandria database
Functional: GGA-PBE
Structure: optimized geometry

Lattice parameters (Å, degrees): 4.5870 4.5870 4.5870 90.00 90.00 90.00
Last column: nearest neighbours and their distance in Å.
Sites, in units of the cell vectors:
P 0.0000 0.0000 0.0000  6 Pd 2.29
Bi 0.5000 0.5000 0.5000  12 Pd 3.24
Pd 0.0000 0.5000 0.0000  2 P 2.29
Pd 0.0000 0.0000 0.5000  2 P 2.29
Pd 0.5000 0.0000 0.0000  2 P 2.29

## Properties
SG: No. 221
DOS at the Fermi energy (states/eV/f.u.): 1.76
Formation energy from the elements (eV per atom): -0.2656
Total magnetic moment (μB per formula unit): 0.00
Distance to the lowest polymorph of the same formula (meV per atom): 97



[6]
Compound: SrZnCuHg2
Source: the Alexandria database
Functional: GGA-PBE
Structure: optimized geometry

Lattice parameters (Å, degrees): 5.1270 5.1270 4.7908 90.00 90.00 90.00
Last column: nearest neighbours and their distance in Å.
Sites, in units of the cell vectors:
Sr 0.5000 0.5000 0.5000  8 Hg 3.51, 4 Zn 3.63
Zn 0.0000 0.0000 0.5000  2 Cu 2.40
Hg 0.0000 0.5000 0.0000  2 Cu 2.56
Hg 0.5000 0.0000 0.0000  2 Cu 2.56
Cu 0.0000 0.0000 0.0000  2 Zn 2.40, 4 Hg 2.56

## Properties
SG: No. 123
DOS at the Fermi energy (states/eV/f.u.): 2.52
Formation energy from the elements (eV per atom): -0.1351
Total magnetic moment (μB per formula unit): 0.00



What did the third record say?
Compound: Y2ScCd4
Source: the Alexandria database
Functional: GGA-PBE
Structure: optimized geometry

Lattice parameters (Å, degrees): 5.1007 5.1007 8.9165 73.38 73.38 60.00
Last column: nearest neighbours and their distance in Å.
Sites, in units of the cell vectors:
Y 0.7505 0.7505 0.7485  8 Cd 3.13-3.17
Y 0.2495 0.2495 0.2515  8 Cd 3.13-3.17
Sc 0.0000 0.0000 0.0000  8 Cd 3.13-3.16
Cd 0.8747 0.8747 0.3759  4 Y 3.13-3.14, 1 Sc 3.16
Cd 0.1253 0.1253 0.6241  4 Y 3.13-3.14, 1 Sc 3.16
Cd 0.6248 0.6248 0.1256  3 Sc 3.13, 4 Y 3.13-3.17
Cd 0.3752 0.3752 0.8744  3 Sc 3.13, 4 Y 3.13-3.17

## Properties
SG: No. 166
DOS at the Fermi energy (states/eV/f.u.): 6.88
Formation energy from the elements (eV per atom): -0.1319
Total magnetic moment (μB per formula unit): 0.00